1.
# PBE Cs2AgRhS, relaxed
# E_form (uncorrected)   196 kJ/mol of formula units
# Mass density   3.86 Mg/m³
# Total magnetic moment   1.87 μB/f.u.
# N(E_F)   1.67 states/eV per atom
data_Cs2AgRhS
_cell_length_a 6.925
_cell_length_b 6.925
_cell_length_c 4.567
_cell_angle_alpha 90.00
_cell_angle_beta 90.00
_cell_angle_gamma 90.00
_symmetry_space_group_name_H-M 'P 4/m m m'
_symmetry_Int_Tables_number 123
_symmetry_space_group_name_Hall '-P 4 2'
loop_
_atom_site_label
_atom_site_fract_x
_atom_site_fract_y
_atom_site_fract_z
Cs1 0.000 0.500 0.000
Ag1 0.000 0.000 0.000
Rh1 0.500 0.500 0.500
S1 0.000 0.000 0.500

2.
# PBE CsAgRhS2, relaxed
# E_form (uncorrected)   -207 kJ/mol of formula units
# Mass density   5.30 Mg/m³
# Total magnetic moment   0.00 μB/f.u.
# N(E_F)   0.68 states/eV per atom
data_CsAgRhS2
_cell_length_a 5.907
_cell_length_b 14.310
_cell_length_c 6.042
_cell_angle_alpha 90.00
_cell_angle_beta 90.00
_cell_angle_gamma 90.00
_symmetry_space_group_name_H-M 'C m m e'
_symmetry_Int_Tables_number 67
_symmetry_space_group_name_Hall '-C 2a 2'
loop_
_atom_site_label
_atom_site_fract_x
_atom_site_fract_y
_atom_site_fract_z
Cs1 0.000 0.250 0.234
Ag1 0.000 0.000 0.000
Rh1 0.250 0.000 0.500
S1 0.000 0.103 0.685

3.
# PBE Cs2AgSbRh, relaxed
# E_form (uncorrected)   150 kJ/mol of formula units
# Mass density   3.77 Mg/m³
# Total magnetic moment   0.12 μB/f.u.
# N(E_F)   1.28 states/eV per atom
data_Cs2AgSbRh
_cell_length_a 7.318
_cell_length_b 7.318
_cell_length_c 4.915
_cell_angle_alpha 90.00
_cell_angle_beta 90.00
_cell_angle_gamma 90.00
_symmetry_space_group_name_H-M 'P 4/m m m'
_symmetry_Int_Tables_number 123
_symmetry_space_group_name_Hall '-P 4 2'
loop_
_atom_site_label
_atom_site_fract_x
_atom_site_fract_y
_atom_site_fract_z
Cs1 0.000 0.500 0.000
Ag1 0.000 0.000 0.500
Sb1 0.500 0.500 0.000
Rh1 0.500 0.500 0.500

4.
# PBE CsScAgRh2, relaxed
# Mass density   5.81 Mg/m³
# Total magnetic moment   0.01 μB/f.u.
# Energy of formation from the pure elements   31.95 kcal/mol of atoms
# N(E_F)   1.21 states/eV per atom
data_CsScAgRh2
_cell_length_a 5.095
_cell_length_b 5.095
_cell_length_c 5.412
_cell_angle_alpha 90.00
_cell_angle_beta 90.00
_cell_angle_gamma 90.00
_symmetry_space_group_name_H-M 'P 4/m m m'
_symmetry_Int_Tables_number 123
_symmetry_space_group_name_Hall '-P 4 2'
loop_
_atom_site_label
_atom_site_fract_x
_atom_site_fract_y
_atom_site_fract_z
Cs1 0.000 0.000 0.000
Sc1 0.500 0.500 0.000
Ag1 0.000 0.000 0.500
Rh1 0.000 0.500 0.500

5.
# PBE Cs2ScAgRh, relaxed
# Mass density   3.41 Mg/m³
# Total magnetic moment   0.46 μB/f.u.
# Energy of formation from the pure elements   30.50 kcal/mol of atoms
# N(E_F)   1.38 states/eV per atom
data_Cs2ScAgRh
_cell_length_a 6.954
_cell_length_b 6.954
_cell_length_c 5.245
_cell_angle_alpha 90.00
_cell_angle_beta 90.00
_cell_angle_gamma 90.00
_symmetry_space_group_name_H-M 'P 4/m m m'
_symmetry_Int_Tables_number 123
_symmetry_space_group_name_Hall '-P 4 2'
loop_
_atom_site_label
_atom_site_fract_x
_atom_site_fract_y
_atom_site_fract_z
Cs1 0.000 0.500 0.000
Sc1 0.000 0.000 0.000
Ag1 0.000 0.000 0.500
Rh1 0.500 0.500 0.500

6.
# PBE CsAg2SnRh, relaxed
# Mass density   6.34 Mg/m³
# Total magnetic moment   0.00 μB/f.u.
# Energy of formation from the pure elements   18.90 kcal/mol of atoms
# N(E_F)   0.62 states/eV per atom
data_CsAg2SnRh
_cell_length_a 5.337
_cell_length_b 5.337
_cell_length_c 5.243
_cell_angle_alpha 90.00
_cell_angle_beta 90.00
_cell_angle_gamma 90.00
_symmetry_space_group_name_H-M 'P 4/m m m'
_symmetry_Int_Tables_number 123
_symmetry_space_group_name_Hall '-P 4 2'
loop_
_atom_site_label
_atom_site_fract_x
_atom_site_fract_y
_atom_site_fract_z
Cs1 0.000 0.000 0.000
Ag1 0.000 0.500 0.500
Sn1 0.500 0.500 0.000
Rh1 0.000 0.000 0.500

7.
# PBE CsAg3Ru, relaxed
# Mass density   4.54 Mg/m³
# Total magnetic moment   2.63 μB/f.u.
# Energy of formation from the pure elements   50.58 kcal/mol of atoms
# N(E_F)   3.11 states/eV per atom
data_CsAg3Ru
_cell_length_a 5.884
_cell_length_b 5.884
_cell_length_c 5.884
_cell_angle_alpha 90.00
_cell_angle_beta 90.00
_cell_angle_gamma 90.00
_symmetry_space_group_name_H-M 'P m -3 m'
_symmetry_Int_Tables_number 221
_symmetry_space_group_name_Hall '-P 4 2 3'
loop_
_atom_site_label
_atom_site_fract_x
_atom_site_fract_y
_atom_site_fract_z
Cs1 0.000 0.000 0.000
Ag1 0.000 0.000 0.500
Ru1 0.500 0.500 0.500

8.
# PBE CsAgRu3, relaxed
# Mass density   6.83 Mg/m³
# Energy above the lowest structure with this stoichiometry   0 meV per atom
# Total magnetic moment   6.86 μB/f.u.
# Energy of formation from the pure elements   49.92 kcal/mol of atoms
# N(E_F)   1.72 states/eV per atom
data_CsAgRu3
_cell_length_a 5.095
_cell_length_b 5.095
_cell_length_c 5.095
_cell_angle_alpha 90.00
_cell_angle_beta 90.00
_cell_angle_gamma 90.00
_symmetry_space_group_name_H-M 'P m -3 m'
_symmetry_Int_Tables_number 221
_symmetry_space_group_name_Hall '-P 4 2 3'
loop_
_atom_site_label
_atom_site_fract_x
_atom_site_fract_y
_atom_site_fract_z
Cs1 0.000 0.000 0.000
Ag1 0.500 0.500 0.500
Ru1 0.000 0.500 0.500

9.
# PBE CsAgRu3, relaxed
# Mass density   7.63 Mg/m³
# Energy above the lowest structure with this stoichiometry   619 meV per atom
# Total magnetic moment   3.86 μB/f.u.
# Energy of formation from the pure elements   64.18 kcal/mol of atoms
# N(E_F)   1.52 states/eV per atom
data_CsAgRu3
_cell_length_a 4.910
_cell_length_b 4.910
_cell_length_c 4.910
_cell_angle_alpha 90.00
_cell_angle_beta 90.00
_cell_angle_gamma 90.00
_symmetry_space_group_name_H-M 'P m -3 m'
_symmetry_Int_Tables_number 221
_symmetry_space_group_name_Hall '-P 4 2 3'
loop_
_atom_site_label
_atom_site_fract_x
_atom_site_fract_y
_atom_site_fract_z
Cs1 0.000 0.000 0.000
Ag1 0.500 0.500 0.500
Ru1 0.000 0.000 0.500

10.
# PBE Cs2AgS2, relaxed
# E_form (uncorrected)   -50 kJ/mol of formula units
# Mass density   4.36 Mg/m³
# Energy above the lowest structure with this stoichiometry   495 meV per atom
# Total magnetic moment   0.00 μB/f.u.
# N(E_F)   0.32 states/eV per atom
data_Cs2AgS2
_cell_length_a 3.891
_cell_length_b 3.891
_cell_length_c 22.012
_cell_angle_alpha 90.00
_cell_angle_beta 90.00
_cell_angle_gamma 90.00
_symmetry_space_group_name_H-M 'I 4/m m m'
_symmetry_Int_Tables_number 139
_symmetry_space_group_name_Hall '-I 4 2'
loop_
_atom_site_label
_atom_site_fract_x
_atom_site_fract_y
_atom_site_fract_z
Cs1 0.000 0.000 0.121
Ag1 0.000 0.000 0.500
S1 0.000 0.500 0.250

11.
# PBE Cs2AgS2, relaxed
# E_form (uncorrected)   -191 kJ/mol of formula units
# Mass density   4.73 Mg/m³
# Energy above the lowest structure with this stoichiometry   204 meV per atom
# Total magnetic moment   0.00 μB/f.u.
# N(E_F)   0.39 states/eV per atom
data_Cs2AgS2
_cell_length_a 7.469
_cell_length_b 7.469
_cell_length_c 5.515
_cell_angle_alpha 90.00
_cell_angle_beta 90.00
_cell_angle_gamma 90.00
_symmetry_space_group_name_H-M 'P 4/m b m'
_symmetry_Int_Tables_number 127
_symmetry_space_group_name_Hall '-P 4 2ab'
loop_
_atom_site_label
_atom_site_fract_x
_atom_site_fract_y
_atom_site_fract_z
Cs1 0.162 0.338 0.000
Ag1 0.000 0.000 0.500
S1 0.165 0.665 0.500

12.
# PBE Cs6Ag2S, relaxed
# E_form (uncorrected)   -246 kJ/mol of formula units
# Mass density   2.72 Mg/m³
# Total magnetic moment   0.00 μB/f.u.
# N(E_F)   0.60 states/eV per atom
data_Cs6Ag2S
_cell_length_a 9.232
_cell_length_b 8.907
_cell_length_c 17.933
_cell_angle_alpha 90.00
_cell_angle_beta 120.01
_cell_angle_gamma 90.00
_symmetry_space_group_name_H-M 'P 1 21/c 1'
_symmetry_Int_Tables_number 14
_symmetry_space_group_name_Hall '-P 2ybc'
loop_
_atom_site_label
_atom_site_fract_x
_atom_site_fract_y
_atom_site_fract_z
Cs1 0.002 0.208 0.157
Cs2 0.296 0.735 0.644
Cs3 0.310 0.212 0.005
Ag1 0.323 0.011 0.816
S1 0.000 0.000 0.000

13.
# PBE CsAgS2, relaxed
# E_form (uncorrected)   -194 kJ/mol of formula units
# Mass density   3.64 Mg/m³
# Energy above the lowest structure with this stoichiometry   0 meV per atom
# Total magnetic moment   0.00 μB/f.u.
# N(E_F)   0.00 states/eV per atom
data_CsAgS2
_cell_length_a 5.255
_cell_length_b 5.259
_cell_length_c 10.748
_cell_angle_alpha 100.40
_cell_angle_beta 103.64
_cell_angle_gamma 98.50
_symmetry_space_group_name_H-M 'P -1'
_symmetry_Int_Tables_number 2
_symmetry_space_group_name_Hall '-P 1'
loop_
_atom_site_label
_atom_site_fract_x
_atom_site_fract_y
_atom_site_fract_z
Cs1 0.088 0.337 0.250
Ag1 0.500 0.000 0.500
Ag2 0.500 0.500 0.000
S1 0.289 0.177 0.658
S2 0.481 0.869 0.158

14.
# PBE Cs3Ag2S3, relaxed
# E_form (uncorrected)   -457 kJ/mol of formula units
# Mass density   4.72 Mg/m³
# Total magnetic moment   0.00 μB/f.u.
# N(E_F)   0.83 states/eV per atom
data_Cs3Ag2S3
_cell_length_a 4.586
_cell_length_b 13.851
_cell_length_c 15.745
_cell_angle_alpha 90.00
_cell_angle_beta 90.00
_cell_angle_gamma 90.00
_symmetry_space_group_name_H-M 'C m c m'
_symmetry_Int_Tables_number 63
_symmetry_space_group_name_Hall '-C 2c 2'
loop_
_atom_site_label
_atom_site_fract_x
_atom_site_fract_y
_atom_site_fract_z
Cs1 0.000 0.077 0.111
Cs2 0.000 0.379 0.250
Ag1 0.000 0.225 0.589
S1 0.000 0.298 0.750
S2 0.000 0.347 0.043

15.
# PBE Cs12Ag3S5, relaxed
# E_form (uncorrected)   -1086 kJ/mol of formula units
# Mass density   2.88 Mg/m³
# Total magnetic moment   1.38 μB/f.u.
# N(E_F)   1.26 states/eV per atom
data_Cs12Ag3S5
_cell_length_a 21.235
_cell_length_b 21.235
_cell_length_c 21.235
_cell_angle_alpha 90.00
_cell_angle_beta 90.00
_cell_angle_gamma 90.00
_symmetry_space_group_name_H-M 'I a -3 d'
_symmetry_Int_Tables_number 230
_symmetry_space_group_name_Hall '-I 4bd 2c 3'
loop_
_atom_site_label
_atom_site_fract_x
_atom_site_fract_y
_atom_site_fract_z
Cs1 0.028 0.058 0.648
Ag1 0.000 0.250 0.125
S1 0.000 0.000 0.000
S2 0.000 0.250 0.375

16.
# PBE CsAgS2, relaxed
# E_form (uncorrected)   3 kJ/mol of formula units
# Mass density   2.46 Mg/m³
# Energy above the lowest structure with this stoichiometry   510 meV per atom
# Total magnetic moment   2.00 μB/f.u.
# N(E_F)   0.00 states/eV per atom
data_CsAgS2
_cell_length_a 5.5875
_cell_length_b 5.5875
_cell_length_c 22.8608
_cell_angle_alpha 90.00
_cell_angle_beta 90.00
_cell_angle_gamma 120.00
_symmetry_space_group_name_H-M 'R -3 m'
_symmetry_Int_Tables_number 166
_symmetry_space_group_name_Hall '-R 3 2"'
loop_
_atom_site_label
_atom_site_fract_x
_atom_site_fract_y
_atom_site_fract_z
Cs1 0.0000 0.0000 0.0000
Ag1 0.0000 0.0000 0.5000
S1 0.0000 0.0000 0.4014

17.
# PBE CsAg8S6, relaxed
# E_form (uncorrected)   -144 kJ/mol of formula units
# Mass density   5.63 Mg/m³
# Total magnetic moment   0.00 μB/f.u.
# N(E_F)   0.43 states/eV per atom
data_CsAg8S6
_cell_length_a 10.7812
_cell_length_b 10.7812
_cell_length_c 10.4513
_cell_angle_alpha 90.00
_cell_angle_beta 90.00
_cell_angle_gamma 120.00
_symmetry_space_group_name_H-M 'R -3 m'
_symmetry_Int_Tables_number 166
_symmetry_space_group_name_Hall '-R 3 2"'
loop_
_atom_site_label
_atom_site_fract_x
_atom_site_fract_y
_atom_site_fract_z
Cs1 0.0000 0.0000 0.0000
Ag1 0.0000 0.0000 0.3542
Ag2 0.0000 0.3308 0.5000
S1 0.0679 0.5339 0.3280

18.
# PBE Cs3AgS2, relaxed
# E_form (uncorrected)   -480 kJ/mol of formula units
# Mass density   3.69 Mg/m³
# Energy above the lowest structure with this stoichiometry   68 meV per atom
# Total magnetic moment   0.00 μB/f.u.
# N(E_F)   0.00 states/eV per atom
data_Cs3AgS2
_cell_length_a 7.738
_cell_length_b 14.462
_cell_length_c 9.185
_cell_angle_alpha 90.00
_cell_angle_beta 90.00
_cell_angle_gamma 90.00
_symmetry_space_group_name_H-M 'I b a m'
_symmetry_Int_Tables_number 72
_symmetry_space_group_name_Hall '-I 2 2c'
loop_
_atom_site_label
_atom_site_fract_x
_atom_site_fract_y
_atom_site_fract_z
Cs1 0.000 0.000 0.250
Cs2 0.000 0.275 0.250
Ag1 0.000 0.500 0.000
S1 0.232 0.388 0.000

19.
# PBE Cs8Ag2S, relaxed
# E_form (uncorrected)   -257 kJ/mol of formula units
# Mass density   2.56 Mg/m³
# Total magnetic moment   0.00 μB/f.u.
# N(E_F)   0.56 states/eV per atom
data_Cs8Ag2S
_cell_length_a 17.685
_cell_length_b 9.672
_cell_length_c 9.961
_cell_angle_alpha 90.00
_cell_angle_beta 90.80
_cell_angle_gamma 90.00
_symmetry_space_group_name_H-M 'C 1 2/m 1'
_symmetry_Int_Tables_number 12
_symmetry_space_group_name_Hall '-C 2y'
loop_
_atom_site_label
_atom_site_fract_x
_atom_site_fract_y
_atom_site_fract_z
Cs1 0.035 0.234 0.262
Cs2 0.179 0.000 0.615
Cs3 0.212 0.500 0.904
Ag1 0.081 0.000 0.972
S1 0.000 0.000 0.500

20.
# PBE Cs3AgS, relaxed
# E_form (uncorrected)   -242 kJ/mol of formula units
# Mass density   2.95 Mg/m³
# Total magnetic moment   0.00 μB/f.u.
# N(E_F)   0.00 states/eV per atom
data_Cs3AgS
_cell_length_a 6.719
_cell_length_b 6.719
_cell_length_c 6.719
_cell_angle_alpha 90.00
_cell_angle_beta 90.00
_cell_angle_gamma 90.00
_symmetry_space_group_name_H-M 'P m -3 m'
_symmetry_Int_Tables_number 221
_symmetry_space_group_name_Hall '-P 4 2 3'
loop_
_atom_site_label
_atom_site_fract_x
_atom_site_fract_y
_atom_site_fract_z
Cs1 0.000 0.000 0.500
Ag1 0.500 0.500 0.500
S1 0.000 0.000 0.000